# 1
First-principles (PBE) data for crystalline BeCu2Pd at its relaxed geometry, as listed in Alexandria.

Summary:
**Total DFT energy (no corrections)**: -0.16463 Ha/atom
**Crystal system**: tetragonal
**Calculated formation energy**: -0.20 eV/atom

Structure (POSCAR):
```
BeCu2Pd
1.0
3.5000 0.0000 0.0000
0.0000 3.5000 0.0000
0.0000 0.0000 3.8879
Be Cu Pd
1 2 1
Direct
0.0000 0.0000 0.0000
0.0000 0.5000 0.5000
0.5000 0.0000 0.5000
0.5000 0.5000 0.0000
```



# 2
First-principles (PBE) data for crystalline CuNiTe2I at its relaxed geometry, as listed in Alexandria.

Summary:
**Formation energy (no corrections)**: 1.1861 eV/atom
**Total DFT energy (no corrections)**: -0.08659 Ha/atom
**Crystal system**: tetragonal

Structure (POSCAR):
```
CuNiTe2I
1.0
5.9520 0.0000 0.0000
0.0000 5.9520 0.0000
0.0000 0.0000 4.5774
Cu Ni Te I
1 1 2 1
Direct
0.0000 0.0000 0.0000
0.5000 0.5000 0.0000
0.0000 0.5000 0.5000
0.5000 0.0000 0.5000
0.5000 0.5000 0.5000
```



# 3
First-principles (PBE) data for crystalline NdDy6YHo2 at its relaxed geometry, as listed in Alexandria.

Summary:
**Total DFT energy (no corrections)**: -0.17206 Ha/atom
**Crystal system**: monoclinic
**Calculated formation energy**: 0.12 eV/atom

Structure (POSCAR):
```
NdDy6YHo2
1.0
4.5334 -7.5329 0.0000
4.5334 7.5329 0.0000
-1.1762 0.0000 9.4683
Nd Dy Y Ho
2 12 2 4
Direct
0.0259 0.9741 0.7500
0.9741 0.0259 0.2500
0.0189 0.5658 0.6823
0.1222 0.7509 0.0565
0.2491 0.8778 0.4435
0.2912 0.5089 0.8808
0.4342 0.9811 0.8177
0.4911 0.7088 0.6192
0.5089 0.2912 0.3808
0.5658 0.0189 0.1823
0.7088 0.4911 0.1192
0.7509 0.1222 0.5565
0.8778 0.2491 0.9435
0.9811 0.4342 0.3177
0.4092 0.5908 0.2500
0.5908 0.4092 0.7500
0.1988 0.3040 0.5458
0.3040 0.1988 0.0458
0.6960 0.8012 0.9542
0.8012 0.6960 0.4542
```



# 4
First-principles (PBE) data for crystalline PaNiBi at its relaxed geometry, as listed in Alexandria.

Summary:
**Total DFT energy (no corrections)**: -0.24516 Ha/atom
**Crystal system**: trigonal
**Calculated formation energy**: -0.28 eV/atom

Structure (POSCAR):
```
PaNiBi
1.0
4.2606 0.0000 0.0000
-2.1303 3.6898 0.0000
0.0000 0.0000 4.4180
Pa Ni Bi
1 1 1
Direct
0.0000 0.0000 0.0000
0.6667 0.3333 0.2583
0.3333 0.6667 0.5152
```



# 5
First-principles (PBE) data for crystalline Pm2Sm6YHo at its relaxed geometry, as listed in Alexandria.

Summary:
**Total DFT energy (no corrections)**: -0.17537 Ha/atom
**Crystal system**: monoclinic
**Calculated formation energy**: 0.11 eV/atom

Structure (POSCAR):
```
Pm2Sm6YHo
1.0
4.5729 -7.6782 0.0000
4.5729 7.6782 0.0000
-1.3713 0.0000 9.6487
Pm Sm Y Ho
4 12 2 2
Direct
0.1959 0.3018 0.0423
0.3018 0.1959 0.5423
0.6982 0.8041 0.4577
0.8041 0.6982 0.9577
0.0182 0.5729 0.1888
0.1259 0.7528 0.5553
0.2472 0.8741 0.9447
0.2895 0.4998 0.3807
0.4271 0.9818 0.3112
0.4998 0.2895 0.8807
0.5002 0.7105 0.1193
0.5729 0.0182 0.6888
0.7105 0.5002 0.6193
0.7528 0.1259 0.0553
0.8741 0.2472 0.4447
0.9818 0.4271 0.8112
0.0207 0.9793 0.2500
0.9793 0.0207 0.7500
0.4088 0.5912 0.7500
0.5912 0.4088 0.2500
```



# 6
First-principles (PBE) data for crystalline CdIn at its relaxed geometry, as listed in Alexandria.

Summary:
**Total DFT energy (no corrections)**: -0.06472 Ha/atom
**Crystal system**: hexagonal
**Calculated formation energy**: 0.07 eV/atom

Structure (POSCAR):
```
CdIn
1.0
8.4989 0.0000 0.0000
-4.2494 7.3603 0.0000
0.0000 0.0000 5.1282
Cd In
6 6
Direct
0.0614 0.2441 0.2500
0.1827 0.9386 0.2500
0.2441 0.1827 0.7500
0.7559 0.8173 0.2500
0.8173 0.0614 0.7500
0.9386 0.7559 0.7500
0.0945 0.4833 0.7500
0.3888 0.9055 0.7500
0.4833 0.3888 0.2500
0.5167 0.6112 0.7500
0.6112 0.0945 0.2500
0.9055 0.5167 0.2500
```



# 7
First-principles (PBE) data for crystalline DyNb2Co9 at its relaxed geometry, as listed in Alexandria.

Summary:
**Total DFT energy (no corrections)**: -0.27675 Ha/atom
**Crystal system**: trigonal
**Calculated formation energy**: -0.14 eV/atom

Structure (POSCAR):
```
DyNb2Co9
1.0
2.4092 1.3909 7.8128
-2.4092 1.3909 7.8128
0.0000 -2.7819 7.8128
Dy Nb Co
1 2 9
Direct
0.0000 0.0000 0.0000
0.1404 0.1404 0.1404
0.8596 0.8596 0.8596
0.0793 0.5893 0.5893
0.3355 0.3355 0.3355
0.4107 0.4107 0.9207
0.4107 0.9207 0.4107
0.5000 0.5000 0.5000
0.5893 0.0793 0.5893
0.5893 0.5893 0.0793
0.6645 0.6645 0.6645
0.9207 0.4107 0.4107
```



# 8
First-principles (PBE) data for crystalline CaLaSb2I at its relaxed geometry, as listed in Alexandria.

Summary:
**Formation energy (no corrections)**: -0.3124 eV/atom
**Total DFT energy (no corrections)**: -0.13440 Ha/atom
**Crystal system**: tetragonal

Structure (POSCAR):
```
CaLaSb2I
1.0
5.6947 0.0000 0.0000
0.0000 5.6947 0.0000
0.0000 0.0000 5.7640
Ca La Sb I
1 1 2 1
Direct
0.0000 0.0000 0.0000
0.5000 0.5000 0.5000
0.0000 0.5000 0.0000
0.5000 0.0000 0.0000
0.0000 0.0000 0.5000
```